This record from the Alexandria database describes a relaxed structure of LiAlCd2. The functional is PBE-GGA.

a b c (Å): 4.3875 4.3875 3.9834
angles (deg): 90.00 90.00 90.00
Last column: nearest neighbours and their distance in Å.
Space group P4/mmm (No. 123)
Symmetry-distinct sites (fractional):
Li 0.0000 0.0000 0.0000 (multiplicity 1)  8 Cd 2.96, 4 Al 3.10
Al 0.5000 0.5000 0.0000 (multiplicity 1)  8 Cd 2.96, 4 Li 3.10
Cd 0.0000 0.5000 0.5000 (multiplicity 2)  4 Li 2.96, 4 Al 2.96, 4 Cd 3.10

## Properties
Calculated volume in Å³/atom: 19.2
Density in Mg/m³: 5.603
Formation energy in kcal/mol of atoms: -1.93